<one>
## PmNd6Er2 (GGA-PBE)

Data for PmNd6Er2 after structural relaxation.

abc: 8.288 8.288 10.523
angles: 90.00 90.00 90.00
Fractional positions:
1 Nd 0.261 0.261 0.166
2 Nd 0.761 0.239 0.000
3 Nd 0.239 0.761 0.000
4 Er 0.000 0.000 0.836
5 Pm 0.500 0.500 0.000
6 Pm 0.000 0.000 0.500
7 Nd 0.739 0.739 0.166
8 Nd 0.261 0.261 0.834
9 Er 0.500 0.500 0.664
10 Nd 0.261 0.261 0.500
11 Nd 0.761 0.239 0.334
12 Nd 0.739 0.739 0.500
13 Nd 0.761 0.239 0.666
14 Nd 0.239 0.761 0.334
15 Nd 0.239 0.761 0.666
16 Nd 0.739 0.739 0.834
17 Er 0.500 0.500 0.336
18 Er 0.000 0.000 0.164

## Properties
- Total magnetic moment: 0.00 μB/atom
- Crystal system: tetragonal
- Theoretical density: 6.2 g/cm3

=====

<two>
## PmNd6Er2 (GGA-PBE)

Data for PmNd6Er2 after structural relaxation.

abc: 3.645 8.918 13.078
angles: 132.64 81.94 90.08
Fractional positions:
1 Nd 0.334 0.333 0.331
2 Er 0.445 0.777 0.110
3 Nd 0.221 0.894 0.559
4 Nd 0.109 0.446 0.782
5 Pm 0.000 0.000 0.000
6 Nd 0.779 0.106 0.441
7 Er 0.555 0.223 0.890
8 Nd 0.666 0.667 0.669
9 Nd 0.891 0.554 0.218

## Properties
- Total magnetic moment: 0.00 μB/atom
- Crystal system: triclinic
- Theoretical density: 7.3 g/cm3

=====

Most stable structure: <two>

=====

<one>
## Pm3NdEr7 (GGA-PBE)

Data for Pm3NdEr7 after structural relaxation.

abc: 8.877 9.992 5.513
angles: 90.02 128.36 105.70
Fractional positions:
1 Pm 0.000 0.500 0.000
2 Nd 0.500 0.500 0.500
3 Er 0.084 0.170 0.083
4 Er 0.179 0.360 0.679
5 Er 0.916 0.830 0.917
6 Er 0.645 0.288 0.145
7 Er 0.500 0.000 0.500
8 Er 0.821 0.640 0.321
9 Pm 0.783 0.999 0.283
10 Er 0.355 0.712 0.855
11 Pm 0.217 0.001 0.717

## Properties
- Total magnetic moment: 0.00 μB/atom
- Crystal system: monoclinic
- Theoretical density: 8.1 g/cm3

=====

<two>
## Pm3NdEr7 (GGA-PBE)

Data for Pm3NdEr7 after structural relaxation.

abc: 5.816 8.422 8.422
angles: 83.40 110.19 110.19
Fractional positions:
1 Pm 0.500 0.000 0.000
2 Er 0.711 0.018 0.404
3 Pm 0.000 0.211 0.789
4 Er 0.000 0.500 0.500
5 Er 0.289 0.982 0.596
6 Er 0.205 0.205 0.205
7 Er 0.795 0.795 0.795
8 Nd 0.500 0.500 0.500
9 Er 0.289 0.596 0.982
10 Er 0.711 0.404 0.018
11 Pm 0.000 0.789 0.211

## Properties
- Total magnetic moment: 0.00 μB/atom
- Crystal system: orthorhombic
- Theoretical density: 8.0 g/cm3

=====

Most stable structure: <one>

=====

<one>
## Pm2NdEr2 (GGA-PBE)

Data for Pm2NdEr2 after structural relaxation.

abc: 3.604 3.604 15.085
angles: 96.80 83.14 60.00
Fractional positions:
1 Er 0.365 0.970 0.301
2 Pm 0.228 0.441 0.104
3 Pm 0.772 0.559 0.896
4 Er 0.635 0.030 0.699
5 Nd 0.500 0.500 0.500

## Properties
- Total magnetic moment: 0.00 μB/atom
- Crystal system: monoclinic
- Theoretical density: 7.7 g/cm3

=====

<two>
## Pm2NdEr2 (GGA-PBE)

Data for Pm2NdEr2 after structural relaxation.

abc: 3.810 9.380 9.380
angles: 90.00 90.00 90.00
Fractional positions:
1 Er 0.500 0.169 0.331
2 Nd 0.000 0.000 0.000
3 Pm 0.000 0.628 0.872
4 Pm 0.000 0.872 0.372
5 Er 0.500 0.669 0.169
6 Pm 0.000 0.128 0.628
7 Nd 0.000 0.500 0.500
8 Pm 0.000 0.372 0.128
9 Er 0.500 0.331 0.831
10 Er 0.500 0.831 0.669

## Properties
- Total magnetic moment: 0.00 μB/atom
- Crystal system: tetragonal
- Theoretical density: 7.6 g/cm3

=====

Most stable structure: <one>

=====

<one>
## Pm6NdEr3 (GGA-PBE)

Data for Pm6NdEr3 after structural relaxation.

abc: 6.457 11.741 11.741
angles: 130.75 90.00 90.00
Fractional positions:
1 Nd 0.007 0.158 0.842
2 Pm 0.298 0.985 0.015
3 Pm 0.077 0.380 0.262
4 Pm 0.577 0.620 0.738
5 Er 0.598 0.581 0.419
6 Er 0.986 0.042 0.295
7 Pm 0.077 0.738 0.620
8 Pm 0.798 0.015 0.985
9 Pm 0.328 0.107 0.544
10 Er 0.098 0.419 0.581
11 Pm 0.828 0.893 0.456
12 Er 0.486 0.295 0.042
13 Pm 0.828 0.544 0.107
14 Pm 0.300 0.699 0.301
15 Nd 0.507 0.842 0.158
16 Pm 0.800 0.301 0.699
17 Pm 0.328 0.456 0.893
18 Er 0.486 0.958 0.705
19 Er 0.986 0.705 0.958
20 Pm 0.577 0.262 0.380

## Properties
- Total magnetic moment: 0.00 μB/atom
- Crystal system: orthorhombic
- Theoretical density: 7.5 g/cm3

=====

<two>
## Pm6NdEr3 (GGA-PBE)

Data for Pm6NdEr3 after structural relaxation.

abc: 6.313 11.090 11.090
angles: 120.46 90.00 90.00
Fractional positions:
1 Pm 0.871 0.945 0.527
2 Pm 0.881 0.038 0.962
3 Pm 0.547 0.627 0.709
4 Pm 0.547 0.291 0.373
5 Pm 0.646 0.281 0.719
6 Pm 0.871 0.473 0.055
7 Er 0.086 0.385 0.615
8 Pm 0.146 0.719 0.281
9 Nd 0.612 0.804 0.196
10 Pm 0.047 0.709 0.627
11 Er 0.963 0.058 0.287
12 Er 0.963 0.713 0.942
13 Er 0.463 0.287 0.058
14 Nd 0.112 0.196 0.804
15 Pm 0.381 0.962 0.038
16 Er 0.463 0.942 0.713
17 Pm 0.371 0.055 0.473
18 Pm 0.371 0.527 0.945
19 Er 0.586 0.615 0.385
20 Pm 0.047 0.373 0.291

## Properties
- Total magnetic moment: 0.00 μB/atom
- Crystal system: orthorhombic
- Theoretical density: 7.5 g/cm3

=====

Most stable structure: <one>